one) A plane-wave DFT calculation with GGA-PBEsol was carried out for an optimized crystal structure of Ba3Tl2.

Properties
Space group: R-3m
D(E_F) (states/eV per cell): 6.14

Cell lengths 4.2620, 4.2620, 14.3537 Å; angles 81.46, 81.46, 60.00 degrees
With the nearest neighbours (Å) after each atom.
Element x y z (fractional)
1 Ba 0.0000 0.0000 0.0000  6 Tl 3.59
2 Ba 0.2126 0.2126 0.3622  3 Tl 3.51
3 Ba 0.7874 0.7874 0.6378  3 Tl 3.51
4 Tl 0.6051 0.6051 0.1848  6 Ba 3.51-3.59
5 Tl 0.3949 0.3949 0.8152  6 Ba 3.51-3.59


two) A plane-wave DFT calculation with GGA-PBEsol was carried out for an optimized crystal structure of Ba3Tl2.

Properties
Space group: P-3m1
D(E_F) (states/eV per cell): 4.39

Cell lengths 5.8604, 5.8604, 7.2602 Å; angles 90.00, 90.00, 120.00 degrees
With the nearest neighbours (Å) after each atom.
Element x y z (fractional)
1 Tl 0.3333 0.6667 0.8544  8 Ba 3.52-3.74
2 Tl 0.6667 0.3333 0.1456  8 Ba 3.52-3.74
3 Ba 0.0000 0.0000 0.0000  6 Tl 3.54
4 Ba 0.3333 0.6667 0.3388  5 Tl 3.52-3.74
5 Ba 0.6667 0.3333 0.6612  5 Tl 3.52-3.74


Each structure's energy above the most stable one, in eV/atom: one) 0.127; two) 0.000.


one) A plane-wave DFT calculation with GGA-PBEsol was carried out for an optimized crystal structure of Ba5Tl.

Properties
Space group: C2/m
D(E_F) (states/eV per cell): 6.82

Cell lengths 4.3346, 7.7076, 10.3505 Å; angles 68.10, 77.91, 73.67 degrees
With the nearest neighbours (Å) after each atom.
Element x y z (fractional)
1 Tl 0.5000 0.5000 0.5000  8 Ba 3.52-3.65
2 Ba 0.1320 0.1053 0.6307  2 Tl 3.52
3 Ba 0.5000 0.0000 0.0000  12 Ba 4.16-4.63
4 Ba 0.8680 0.8947 0.3693  2 Tl 3.52
5 Ba 0.8388 0.5446 0.7778  2 Tl 3.65, 2 Ba 4.00-4.08
6 Ba 0.1612 0.4554 0.2222  2 Tl 3.65, 2 Ba 4.00-4.08


two) A plane-wave DFT calculation with GGA-PBEsol was carried out for an optimized crystal structure of Ba5Tl.

Properties
Space group: Amm2
D(E_F) (states/eV per cell): 6.22

Cell lengths 4.6483, 6.3610, 10.1299 Å; angles 90.00, 103.26, 90.00 degrees
With the nearest neighbours (Å) after each atom.
Element x y z (fractional)
1 Tl 0.1383 0.5000 0.2765  8 Ba 3.61-3.94
2 Ba 0.9699 0.0000 0.9398  8 Ba 3.93-4.07
3 Ba 0.3093 0.0000 0.6185  8 Ba 3.93-4.08
4 Ba 0.6392 0.0000 0.2783  4 Tl 3.94, 8 Ba 4.07-4.23
5 Ba 0.4979 0.5000 0.9958  2 Tl 3.61, 4 Ba 3.98
6 Ba 0.7788 0.5000 0.5577  2 Tl 3.62, 4 Ba 3.98


Each structure's energy above the most stable one, in eV/atom: one) 0.000; two) 0.063.


one) A plane-wave DFT calculation with GGA-PBEsol was carried out for an optimized crystal structure of BaYTl.

Properties
Space group: F-43m
D(E_F) (states/eV per cell): 3.87

Cell lengths 5.4796, 5.4796, 5.4796 Å; angles 60.00, 60.00, 60.00 degrees
With the nearest neighbours (Å) after each atom.
Element x y z (fractional)
1 Ba 0.5000 0.5000 0.5000  4 Tl 3.36
2 Tl 0.2500 0.2500 0.2500  4 Y 3.36, 4 Ba 3.36
3 Y 0.0000 0.0000 0.0000  4 Tl 3.36


two) A plane-wave DFT calculation with GGA-PBEsol was carried out for an optimized crystal structure of BaYTl.

Properties
Space group: P4/nmm
D(E_F) (states/eV per cell): 2.60

Cell lengths 5.1957, 5.1957, 8.0688 Å; angles 90.00, 90.00, 90.00 degrees
With the nearest neighbours (Å) after each atom.
Element x y z (fractional)
1 Y 0.0000 0.0000 0.5000  4 Tl 3.11
2 Y 0.5000 0.5000 0.5000  4 Tl 3.11
3 Tl 0.5000 0.0000 0.7122  4 Y 3.11, 1 Ba 3.42
4 Tl 0.0000 0.5000 0.2878  4 Y 3.11, 1 Ba 3.42
5 Ba 0.0000 0.5000 0.8641  1 Tl 3.42
6 Ba 0.5000 0.0000 0.1359  1 Tl 3.42


Each structure's energy above the most stable one, in eV/atom: one) 0.352; two) 0.000.


one) A plane-wave DFT calculation with GGA-PBEsol was carried out for an optimized crystal structure of Ba2TlZn2.

Properties
Space group: I4/mmm
D(E_F) (states/eV per cell): 3.79

Cell lengths 3.8252, 3.8252, 10.8587 Å; angles 100.14, 100.14, 90.00 degrees
With the nearest neighbours (Å) after each atom.
Element x y z (fractional)
1 Zn 0.2500 0.7500 0.5000  4 Zn 2.70
2 Zn 0.7500 0.2500 0.5000  4 Zn 2.70
3 Tl 0.0000 0.0000 0.0000  8 Ba 3.58, 4 Tl 3.83
4 Ba 0.3888 0.3888 0.7776  4 Zn 3.49, 4 Tl 3.58, 4 Ba 3.83
5 Ba 0.6112 0.6112 0.2224  4 Zn 3.49, 4 Tl 3.58, 4 Ba 3.83


two) A plane-wave DFT calculation with GGA-PBEsol was carried out for an optimized crystal structure of Ba2TlZn2.

Properties
Space group: P4/mbm
D(E_F) (states/eV per cell): 7.58

Cell lengths 4.4430, 8.3831, 8.3831 Å; angles 90.00, 90.00, 90.00 degrees
With the nearest neighbours (Å) after each atom.
Element x y z (fractional)
1 Zn 0.0000 0.3937 0.8937  1 Zn 2.52
2 Zn 0.0000 0.8937 0.6063  1 Zn 2.52
3 Zn 0.0000 0.6063 0.1063  1 Zn 2.52
4 Zn 0.0000 0.1063 0.3937  1 Zn 2.52
5 Tl 0.0000 0.0000 0.0000  4 Zn 3.42, 8 Ba 3.77
6 Tl 0.0000 0.5000 0.5000  4 Zn 3.42, 8 Ba 3.77
7 Ba 0.5000 0.1908 0.6908  6 Zn 3.27-3.41
8 Ba 0.5000 0.6908 0.8092  6 Zn 3.27-3.41
9 Ba 0.5000 0.8092 0.3092  6 Zn 3.27-3.41
10 Ba 0.5000 0.3092 0.1908  6 Zn 3.27-3.41


Each structure's energy above the most stable one, in eV/atom: one) 0.070; two) 0.000.